(1)
A relaxed TeMoSN2 crystal. Source: Alexandria, functional PBE-GGA.

Summary:
total moment: 0.00 μB/cell
density of states at the Fermi level: 2.92 states/eV/f.u.
E_form (uncorrected): 0.59 eV/atom
E: -31.785 eV for the cell shown
symmetry: P4/mmm

CIF file:
```
data_TeMoSN2
_cell_length_a 3.9664
_cell_length_b 3.9664
_cell_length_c 5.0773
_cell_angle_alpha 90.00
_cell_angle_beta 90.00
_cell_angle_gamma 90.00
_symmetry_space_group_name_H-M 'P 1'
_symmetry_Int_Tables_number 1
loop_
_symmetry_equiv_pos_as_xyz
'x,y,z'
loop_
_atom_site_label
_atom_site_type_symbol
_atom_site_fract_x
_atom_site_fract_y
_atom_site_fract_z
Mo1 Mo 0.0000 0.0000 0.0000
Te1 Te 0.5000 0.5000 0.5000
S1 S 0.0000 0.0000 0.5000
N1 N 0.0000 0.5000 0.0000
N2 N 0.5000 0.0000 0.0000
```

***

(2)
A relaxed MgSb3H crystal. Source: Alexandria, functional PBE-GGA.

Summary:
total moment: 0.00 μB/cell
density of states at the Fermi level: 2.65 states/eV/f.u.
E: -15.736 eV for the cell shown
symmetry: Pm-3m

CIF file:
```
data_MgSb3H
_cell_length_a 4.7683
_cell_length_b 4.7683
_cell_length_c 4.7683
_cell_angle_alpha 90.00
_cell_angle_beta 90.00
_cell_angle_gamma 90.00
_symmetry_space_group_name_H-M 'P 1'
_symmetry_Int_Tables_number 1
loop_
_symmetry_equiv_pos_as_xyz
'x,y,z'
loop_
_atom_site_label
_atom_site_type_symbol
_atom_site_fract_x
_atom_site_fract_y
_atom_site_fract_z
Sb1 Sb 0.0000 0.5000 0.0000
Sb2 Sb 0.0000 0.0000 0.5000
Sb3 Sb 0.5000 0.0000 0.0000
Mg1 Mg 0.5000 0.5000 0.5000
H1 H 0.0000 0.0000 0.0000
```

***

(3)
A relaxed SmTlP2O8 crystal. Source: Alexandria, functional PBE-GGA.

Summary:
total moment: 0.00 μB/cell
density of states at the Fermi level: 0.00 states/eV/f.u.
E_form (uncorrected): -2.19 eV/atom
E: -83.874 eV for the cell shown
symmetry: P-3m1

CIF file:
```
data_SmTlP2O8
_cell_length_a 5.2341
_cell_length_b 5.2341
_cell_length_c 7.1745
_cell_angle_alpha 90.00
_cell_angle_beta 90.00
_cell_angle_gamma 120.00
_symmetry_space_group_name_H-M 'P 1'
_symmetry_Int_Tables_number 1
loop_
_symmetry_equiv_pos_as_xyz
'x,y,z'
loop_
_atom_site_label
_atom_site_type_symbol
_atom_site_fract_x
_atom_site_fract_y
_atom_site_fract_z
Sm1 Sm 0.0000 0.0000 0.0000
Tl1 Tl 0.0000 0.0000 0.5000
P1 P 0.6667 0.3333 0.2041
P2 P 0.3333 0.6667 0.7959
O1 O 0.3333 0.6667 0.0092
O2 O 0.3402 0.1705 0.2708
O3 O 0.8295 0.1697 0.2708
O4 O 0.6667 0.3333 0.9908
O5 O 0.1705 0.8303 0.7292
O6 O 0.6598 0.8295 0.7292
O7 O 0.1697 0.3402 0.7292
O8 O 0.8303 0.6598 0.2708
```

***

(4)
A relaxed FeAs crystal. Source: Alexandria, functional PBE-GGA.

Summary:
total moment: 7.79 μB/cell
density of states at the Fermi level: 2.96 states/eV/f.u.
calculated formation energy: 0.204 eV/atom
E: -50.814 eV for the cell shown
symmetry: P4_2/mnm

CIF file:
```
data_FeAs
_cell_length_a 4.8770
_cell_length_b 4.8770
_cell_length_c 5.0306
_cell_angle_alpha 90.00
_cell_angle_beta 90.00
_cell_angle_gamma 90.00
_symmetry_space_group_name_H-M 'P 1'
_symmetry_Int_Tables_number 1
loop_
_symmetry_equiv_pos_as_xyz
'x,y,z'
loop_
_atom_site_label
_atom_site_type_symbol
_atom_site_fract_x
_atom_site_fract_y
_atom_site_fract_z
Fe1 Fe 0.7947 0.2053 0.0000
Fe2 Fe 0.2947 0.2947 0.5000
Fe3 Fe 0.7053 0.7053 0.5000
Fe4 Fe 0.2053 0.7947 0.0000
As1 As 0.7143 0.7143 0.0000
As2 As 0.2143 0.7857 0.5000
As3 As 0.7857 0.2143 0.5000
As4 As 0.2857 0.2857 0.0000
```

***

(5)
A relaxed HAuN crystal. Source: Alexandria, functional PBE-GGA.

Summary:
total moment: 0.25 μB/cell
density of states at the Fermi level: 1.05 states/eV/f.u.
E: -13.115 eV for the cell shown
symmetry: Pm

CIF file:
```
data_HAuN
_cell_length_a 2.7976
_cell_length_b 3.9916
_cell_length_c 3.6296
_cell_angle_alpha 90.00
_cell_angle_beta 112.40
_cell_angle_gamma 90.00
_symmetry_space_group_name_H-M 'P 1'
_symmetry_Int_Tables_number 1
loop_
_symmetry_equiv_pos_as_xyz
'x,y,z'
loop_
_atom_site_label
_atom_site_type_symbol
_atom_site_fract_x
_atom_site_fract_y
_atom_site_fract_z
H1 H 0.7269 0.0000 0.1935
Au1 Au 0.9254 0.5000 0.5948
N1 N 0.8794 0.0000 0.5018
```

***

(6)
A relaxed CsSCl3 crystal. Source: Alexandria, functional PBE-GGA.

Summary:
total moment: 0.00 μB/cell
density of states at the Fermi level: 1.08 states/eV/f.u.
E_form (uncorrected): -0.74 eV/atom
E: -14.211 eV for the cell shown
symmetry: Pm-3m

CIF file:
```
data_CsSCl3
_cell_length_a 5.1430
_cell_length_b 5.1430
_cell_length_c 5.1430
_cell_angle_alpha 90.00
_cell_angle_beta 90.00
_cell_angle_gamma 90.00
_symmetry_space_group_name_H-M 'P 1'
_symmetry_Int_Tables_number 1
loop_
_symmetry_equiv_pos_as_xyz
'x,y,z'
loop_
_atom_site_label
_atom_site_type_symbol
_atom_site_fract_x
_atom_site_fract_y
_atom_site_fract_z
Cs1 Cs 0.5000 0.5000 0.5000
S1 S 0.0000 0.0000 0.0000
Cl1 Cl 0.0000 0.5000 0.0000
Cl2 Cl 0.0000 0.0000 0.5000
Cl3 Cl 0.5000 0.0000 0.0000
```

***

(7)
A relaxed Sm4DyEr3 crystal. Source: Alexandria, functional PBE-GGA.

Summary:
total moment: 0.00 μB/cell
density of states at the Fermi level: 11.62 states/eV/f.u.
calculated formation energy: 0.200 eV/atom
E: -35.569 eV for the cell shown
symmetry: Cmmm

CIF file:
```
data_Sm4DyEr3
_cell_length_a 5.6451
_cell_length_b 3.6075
_cell_length_c 13.2722
_cell_angle_alpha 89.98
_cell_angle_beta 102.28
_cell_angle_gamma 90.00
_symmetry_space_group_name_H-M 'P 1'
_symmetry_Int_Tables_number 1
loop_
_symmetry_equiv_pos_as_xyz
'x,y,z'
loop_
_atom_site_label
_atom_site_type_symbol
_atom_site_fract_x
_atom_site_fract_y
_atom_site_fract_z
Er1 Er 0.0000 0.5000 0.0000
Er2 Er 0.8480 0.9997 0.6959
Er3 Er 0.1520 0.0003 0.3041
Sm1 Sm 0.6030 0.5000 0.2061
Sm2 Sm 0.3970 0.5000 0.7939
Sm3 Sm 0.2770 0.4995 0.5540
Sm4 Sm 0.7230 0.5005 0.4460
Dy1 Dy 0.5000 0.0000 0.0000
```

***

(8)
A relaxed Sc8Te3P3S crystal. Source: Alexandria, functional PBE-GGA.

Summary:
total moment: 0.00 μB/cell
density of states at the Fermi level: 6.87 states/eV/f.u.
E_form (uncorrected): -1.32 eV/atom
E: -100.272 eV for the cell shown
symmetry: R-3m

CIF file:
```
data_Sc8Te3P3S
_cell_length_a 7.6782
_cell_length_b 7.6776
_cell_length_c 7.9598
_cell_angle_alpha 118.83
_cell_angle_beta 90.00
_cell_angle_gamma 120.00
_symmetry_space_group_name_H-M 'P 1'
_symmetry_Int_Tables_number 1
loop_
_symmetry_equiv_pos_as_xyz
'x,y,z'
loop_
_atom_site_label
_atom_site_type_symbol
_atom_site_fract_x
_atom_site_fract_y
_atom_site_fract_z
Sc1 Sc 0.2663 0.5325 0.2987
Sc2 Sc 0.7337 0.4675 0.7013
Sc3 Sc 0.7626 0.5252 0.2920
Sc4 Sc 0.2374 0.4748 0.7080
Sc5 Sc 0.7626 0.0294 0.2920
Sc6 Sc 0.2374 0.9706 0.7080
Sc7 Sc 0.2668 0.0294 0.2920
Sc8 Sc 0.7332 0.9706 0.7080
Te1 Te 0.0000 0.0000 0.0000
Te2 Te 0.0000 0.5000 0.0000
Te3 Te 0.5000 0.5000 0.0000
P1 P 0.5000 0.0000 0.5000
P2 P 0.5000 0.5000 0.5000
P3 P 0.0000 0.5000 0.5000
S1 S 0.0000 0.0000 0.5000
```

***

(9)
A relaxed PaSi2BO8 crystal. Source: Alexandria, functional PBE-GGA.

Summary:
total moment: 0.00 μB/cell
density of states at the Fermi level: 0.00 states/eV/f.u.
E_form (uncorrected): -2.41 eV/atom
E: -95.662 eV for the cell shown
symmetry: P-3m1

CIF file:
```
data_PaSi2BO8
_cell_length_a 4.9992
_cell_length_b 4.9992
_cell_length_c 5.9336
_cell_angle_alpha 90.00
_cell_angle_beta 90.00
_cell_angle_gamma 120.00
_symmetry_space_group_name_H-M 'P 1'
_symmetry_Int_Tables_number 1
loop_
_symmetry_equiv_pos_as_xyz
'x,y,z'
loop_
_atom_site_label
_atom_site_type_symbol
_atom_site_fract_x
_atom_site_fract_y
_atom_site_fract_z
Pa1 Pa 0.0000 0.0000 0.5000
Si1 Si 0.3333 0.6667 0.7520
Si2 Si 0.6667 0.3333 0.2480
B1 B 0.0000 0.0000 0.0000
O1 O 0.1522 0.3044 0.8239
O2 O 0.1522 0.8478 0.8239
O3 O 0.6956 0.8478 0.8239
O4 O 0.3044 0.1522 0.1761
O5 O 0.6667 0.3333 0.5221
O6 O 0.3333 0.6667 0.4779
O7 O 0.8478 0.6956 0.1761
O8 O 0.8478 0.1522 0.1761
```

***

(10)
A relaxed Sn2SbS crystal. Source: Alexandria, functional PBE-GGA.

Summary:
total moment: 0.00 μB/cell
density of states at the Fermi level: 1.95 states/eV/f.u.
E_form (uncorrected): -0.08 eV/atom
E: -16.567 eV for the cell shown
symmetry: R3m

CIF file:
```
data_Sn2SbS
_cell_length_a 4.0574
_cell_length_b 4.0574
_cell_length_c 8.1405
_cell_angle_alpha 75.57
_cell_angle_beta 75.57
_cell_angle_gamma 60.00
_symmetry_space_group_name_H-M 'P 1'
_symmetry_Int_Tables_number 1
loop_
_symmetry_equiv_pos_as_xyz
'x,y,z'
loop_
_atom_site_label
_atom_site_type_symbol
_atom_site_fract_x
_atom_site_fract_y
_atom_site_fract_z
Sn1 Sn 0.0727 0.0727 0.7819
Sn2 Sn 0.2491 0.2491 0.2528
Sb1 Sb 0.5025 0.5025 0.4925
S1 S 0.6758 0.6758 0.9727
```

***

(11)
A relaxed SiTeRuI2 crystal. Source: Alexandria, functional PBE-GGA.

Summary:
total moment: 0.00 μB/cell
density of states at the Fermi level: 4.83 states/eV/f.u.
E_form (uncorrected): 0.76 eV/atom
E: -17.129 eV for the cell shown
symmetry: P4/mmm

CIF file:
```
data_SiTeRuI2
_cell_length_a 5.4120
_cell_length_b 5.4120
_cell_length_c 5.0999
_cell_angle_alpha 90.00
_cell_angle_beta 90.00
_cell_angle_gamma 90.00
_symmetry_space_group_name_H-M 'P 1'
_symmetry_Int_Tables_number 1
loop_
_symmetry_equiv_pos_as_xyz
'x,y,z'
loop_
_atom_site_label
_atom_site_type_symbol
_atom_site_fract_x
_atom_site_fract_y
_atom_site_fract_z
I1 I 0.0000 0.5000 0.0000
I2 I 0.5000 0.0000 0.0000
Ru1 Ru 0.0000 0.0000 0.0000
Si1 Si 0.5000 0.5000 0.5000
Te1 Te 0.0000 0.0000 0.5000
```

***

(12)
A relaxed BaAsIBr2 crystal. Source: Alexandria, functional PBE-GGA.

Summary:
total moment: 2.04 μB/cell
density of states at the Fermi level: 7.06 states/eV/f.u.
E_form (uncorrected): -0.37 eV/atom
E: -13.307 eV for the cell shown
symmetry: P4/mmm

CIF file:
```
data_BaAsIBr2
_cell_length_a 6.0652
_cell_length_b 6.0652
_cell_length_c 9.4525
_cell_angle_alpha 90.00
_cell_angle_beta 90.00
_cell_angle_gamma 90.00
_symmetry_space_group_name_H-M 'P 1'
_symmetry_Int_Tables_number 1
loop_
_symmetry_equiv_pos_as_xyz
'x,y,z'
loop_
_atom_site_label
_atom_site_type_symbol
_atom_site_fract_x
_atom_site_fract_y
_atom_site_fract_z
I1 I 0.5000 0.5000 0.5000
As1 As 0.0000 0.0000 0.5000
Ba1 Ba 0.0000 0.0000 0.0000
Br1 Br 0.0000 0.5000 0.0000
Br2 Br 0.5000 0.0000 0.0000
```